Entry 1:
The following is a PBE calculation of K2FeP after structural relaxation, from the Alexandria database.

Its formation energy is 3.62 eV per formula unit.

The structure belongs to space group R-3m (No. 166, hexagonal axes); the cell edges are 3.2249, 3.2249 and 33.4384 Å and the angles 90.00°, 90.00° and 120.00°. The inequivalent atoms are K at (0.0000, 0.0000, 0.2430), Fe at (0.0000, 0.0000, 0.0000) and P at (0.0000, 0.0000, 0.5000).



Entry 2:
The following is a PBE calculation of K2Fe2P after structural relaxation, from the Alexandria database.

Its formation energy is 6.40 eV per formula unit.

The structure belongs to space group P4/mbm (No. 127); the cell edges are 9.865, 9.865 and 2.540 Å and the angles 90.00°, 90.00° and 90.00°. The inequivalent atoms are K at (0.209, 0.291, 0.000), Fe at (0.069, 0.569, 0.500) and P at (0.000, 0.000, 0.000).



Entry 3:
The following is a PBE calculation of K2Fe2P after structural relaxation, from the Alexandria database.

Its formation energy is 3.40 eV per formula unit.

The structure belongs to space group I4/mmm (No. 139); the cell edges are 3.121, 3.121 and 21.864 Å and the angles 90.00°, 90.00° and 90.00°. The inequivalent atoms are K at (0.000, 0.000, 0.108), Fe at (0.000, 0.500, 0.250) and P at (0.000, 0.000, 0.500).



Entry 4:
The following is a PBE calculation of K2FeP2 after structural relaxation, from the Alexandria database.

Its formation energy is -0.52 eV per formula unit.

The structure belongs to space group P4/mbm (No. 127); the cell edges are 5.965, 5.965 and 5.489 Å and the angles 90.00°, 90.00° and 90.00°. The inequivalent atoms are K at (0.177, 0.323, 0.000), Fe at (0.000, 0.000, 0.500) and P at (0.141, 0.641, 0.500).



Entry 5:
The following is a PBE calculation of K2FeP after structural relaxation, from the Alexandria database.

Its formation energy is 2.65 eV per formula unit.

The structure belongs to space group P4/mmm (No. 123); the cell edges are 4.238, 4.238 and 5.180 Å and the angles 90.00°, 90.00° and 90.00°. The inequivalent atoms are K at (0.000, 0.500, 0.000), Fe at (0.000, 0.000, 0.500) and P at (0.500, 0.500, 0.500).



Entry 6:
The following is a PBE calculation of KFe2P2 after structural relaxation, from the Alexandria database.

Its formation energy is -1.34 eV per formula unit.

The structure belongs to space group P4/mmm (No. 123); the cell edges are 3.532, 3.532 and 7.386 Å and the angles 90.00°, 90.00° and 90.00°. The inequivalent atoms are K at (0.000, 0.000, 0.000), Fe at (0.000, 0.500, 0.500) and P at (0.500, 0.500, 0.295).



Entry 7:
The following is a PBE calculation of K2FeP after structural relaxation, from the Alexandria database.

Its formation energy is 0.48 eV per formula unit.

The structure belongs to space group I-42d (No. 122); the cell edges are 12.493, 12.493 and 4.274 Å and the angles 90.00°, 90.00° and 90.00°. The inequivalent atoms are K at (0.037, 0.250, 0.125), Fe at (0.000, 0.000, 0.500) and P at (0.000, 0.000, 0.000).



Entry 8:
The following is a PBE calculation of KFe4P after structural relaxation, from the Alexandria database.

Its formation energy is 4.65 eV per formula unit.

The structure belongs to space group F-43m (No. 216); the cell edges are 7.254, 7.254 and 7.254 Å and the angles 90.00°, 90.00° and 90.00°. The inequivalent atoms are K at (0.000, 0.000, 0.000), Fe at (0.125, 0.125, 0.375) and P at (0.250, 0.250, 0.750).